# GGA-PBE Cd2SnP2, optimized geometry
data_Cd2SnP2
_chemical_formula_sum 'Cd4 Sn2 P4'
_symmetry_space_group_name_H-M 'I 4/m m m'
_symmetry_Int_Tables_number 139
_symmetry_space_group_name_Hall '-I 4 2'
_cell_length_a 4.210
_cell_length_b 4.210
_cell_length_c 12.600
_cell_angle_alpha 90.00
_cell_angle_beta 90.00
_cell_angle_gamma 90.00
loop_
_atom_site_label
_atom_site_type_symbol
_atom_site_fract_x
_atom_site_fract_y
_atom_site_fract_z
_atom_site_occupancy
Cd1 Cd 0.000 0.500 0.250 1
Sn1 Sn 0.000 0.000 0.000 1
P1 P 0.000 0.000 0.395 1
# Calculated formation energy (eV/atom): 0.240
# D(E_F) (states/eV/cell): 1.83
# Energy above the lowest structure with this stoichiometry (kJ per mole of atoms): 1.3
# Magnetic moment (μB per cell): 0.0